Entry 1:
First-principles (GGA-PBE) data for TcW2 after structural relaxation, as listed in Alexandria via LeMat-Bulk.

abc: 3.153 3.153 9.469
angles: 90.00 90.00 90.00
Element x y z (fractional)
Tc1 0.000 0.000 0.000
Tc2 0.500 0.500 0.500
W1 0.000 0.000 0.332
W2 0.000 0.000 0.668
W3 0.500 0.500 0.168
W4 0.500 0.500 0.832

Results
The distance to the lowest polymorph of the same formula comes out at 0.0105 eV per atom. Its space group is I4/mmm (139).

---

Entry 2:
First-principles (GGA-PBE) data for Tc2W after structural relaxation, as listed in Alexandria via LeMat-Bulk.

abc: 12.187 12.187 12.187
angles: 161.50 161.50 26.27
Element x y z (fractional)
Tc1 0.124 0.374 0.750
Tc2 0.292 0.542 0.750
Tc3 0.374 0.124 0.250
Tc4 0.458 0.708 0.750
Tc5 0.542 0.292 0.250
Tc6 0.626 0.876 0.750
Tc7 0.708 0.458 0.250
Tc8 0.876 0.626 0.250
W1 0.045 0.795 0.250
W2 0.205 0.955 0.250
W3 0.795 0.045 0.750
W4 0.955 0.205 0.750

Results
The distance to the lowest polymorph of the same formula comes out at 0.0310 eV per atom. Its space group is I4_1/amd (141).

---

Entry 3:
First-principles (GGA-PBE) data for Tc3W after structural relaxation, as listed in Alexandria via LeMat-Bulk.

abc: 3.921 3.921 15.659
angles: 90.00 90.00 90.00
Element x y z (fractional)
Tc1 0.000 0.000 0.128
Tc2 0.000 0.000 0.872
Tc3 0.000 0.500 0.000
Tc4 0.000 0.500 0.250
Tc5 0.000 0.500 0.500
Tc6 0.000 0.500 0.750
Tc7 0.500 0.000 0.000
Tc8 0.500 0.000 0.250
Tc9 0.500 0.000 0.500
Tc10 0.500 0.000 0.750
Tc11 0.500 0.500 0.372
Tc12 0.500 0.500 0.628
W1 0.000 0.000 0.378
W2 0.000 0.000 0.622
W3 0.500 0.500 0.122
W4 0.500 0.500 0.878

Results
Its space group is I4/mmm (139).

---

Entry 4:
First-principles (GGA-PBE) data for Tc5W4 after structural relaxation, as listed in Alexandria via LeMat-Bulk.

abc: 7.770 7.770 5.336
angles: 90.00 90.00 120.00
Element x y z (fractional)
Tc1 0.000 0.311 0.250
Tc2 0.000 0.689 0.750
Tc3 0.311 0.000 0.250
Tc4 0.311 0.311 0.750
Tc5 0.333 0.667 0.000
Tc6 0.333 0.667 0.500
Tc7 0.667 0.333 0.000
Tc8 0.667 0.333 0.500
Tc9 0.689 0.000 0.750
Tc10 0.689 0.689 0.250
W1 0.000 0.000 0.000
W2 0.000 0.000 0.500
W3 0.000 0.364 0.750
W4 0.000 0.636 0.250
W5 0.364 0.000 0.750
W6 0.364 0.364 0.250
W7 0.636 0.000 0.250
W8 0.636 0.636 0.750

Results
The distance to the lowest polymorph of the same formula comes out at 0.1173 eV per atom. Its space group is P6_3/mcm (193).

---

Entry 5:
First-principles (GGA-PBE) data for Tc2W after structural relaxation, as listed in Alexandria via LeMat-Bulk.

abc: 2.765 2.765 11.937
angles: 90.00 90.00 90.00
Element x y z (fractional)
Tc1 0.000 0.000 0.174
Tc2 0.000 0.000 0.826
Tc3 0.500 0.500 0.326
Tc4 0.500 0.500 0.674
W1 0.000 0.000 0.500
W2 0.500 0.500 0.000

Results
The distance to the lowest polymorph of the same formula comes out at 0.0205 eV per atom. Its space group is I4/mmm (139).

---

Entry 6:
First-principles (GGA-PBE) data for TcW3 after structural relaxation, as listed in Alexandria via LeMat-Bulk.

abc: 3.995 3.995 3.995
angles: 90.00 90.00 90.00
Element x y z (fractional)
Tc1 0.000 0.000 0.000
W1 0.000 0.500 0.500
W2 0.500 0.000 0.500
W3 0.500 0.500 0.000

Results
Its space group is Pm-3m (221).

---

Entry 7:
First-principles (GGA-PBE) data for Tc3W after structural relaxation, as listed in Alexandria via LeMat-Bulk.

abc: 3.922 3.922 7.831
angles: 90.00 90.00 90.00
Element x y z (fractional)
Tc1 0.000 0.000 0.000
Tc2 0.000 0.500 0.250
Tc3 0.000 0.500 0.750
Tc4 0.500 0.000 0.250
Tc5 0.500 0.000 0.750
Tc6 0.500 0.500 0.500
W1 0.000 0.000 0.500
W2 0.500 0.500 0.000

Results
Its space group is I4/mmm (139).

---

Entry 8:
First-principles (GGA-PBE) data for TcW3 after structural relaxation, as listed in Alexandria via LeMat-Bulk.

abc: 6.324 6.324 6.324
angles: 90.00 90.00 90.00
Element x y z (fractional)
Tc1 0.000 0.000 0.000
Tc2 0.000 0.500 0.500
Tc3 0.500 0.000 0.500
Tc4 0.500 0.500 0.000
W1 0.000 0.000 0.500
W2 0.000 0.500 0.000
W3 0.250 0.250 0.250
W4 0.250 0.250 0.750
W5 0.250 0.750 0.250
W6 0.250 0.750 0.750
W7 0.500 0.000 0.000
W8 0.500 0.500 0.500
W9 0.750 0.250 0.250
W10 0.750 0.250 0.750
W11 0.750 0.750 0.250
W12 0.750 0.750 0.750

Results
Its space group is Fm-3m (225).

---

Entry 9:
First-principles (GGA-PBE) data for Tc2W after structural relaxation, as listed in Alexandria via LeMat-Bulk.

abc: 6.125 6.125 5.159
angles: 90.00 90.00 90.00
Element x y z (fractional)
Tc1 0.144 0.356 0.000
Tc2 0.144 0.644 0.500
Tc3 0.356 0.144 0.500
Tc4 0.356 0.856 0.000
Tc5 0.644 0.144 0.000
Tc6 0.644 0.856 0.500
Tc7 0.856 0.356 0.500
Tc8 0.856 0.644 0.000
W1 0.000 0.000 0.250
W2 0.000 0.000 0.750
W3 0.500 0.500 0.250
W4 0.500 0.500 0.750

Results
The distance to the lowest polymorph of the same formula comes out at 0.3156 eV per atom. Its space group is I4/mcm (140).

---

Entry 10:
First-principles (GGA-PBE) data for Tc3W after structural relaxation, as listed in Alexandria via LeMat-Bulk.

abc: 2.725 4.301 5.301
angles: 90.00 103.27 90.00
Element x y z (fractional)
Tc1 0.000 0.000 0.000
Tc2 0.326 0.500 0.751
Tc3 0.674 0.500 0.249
W1 0.500 0.000 0.500

Results
Its space group is P2/m (10).

---

Entry 11:
First-principles (GGA-PBE) data for TcW3 after structural relaxation, as listed in Alexandria via LeMat-Bulk.

abc: 8.918 8.918 2.753
angles: 90.00 90.00 120.00
Element x y z (fractional)
Tc1 0.000 0.000 0.000
Tc2 0.333 0.667 0.667
Tc3 0.667 0.333 0.333
W1 0.000 0.500 0.000
W2 0.167 0.333 0.333
W3 0.167 0.833 0.333
W4 0.333 0.167 0.667
W5 0.500 0.000 0.000
W6 0.500 0.500 0.000
W7 0.667 0.833 0.333
W8 0.833 0.167 0.667
W9 0.833 0.667 0.667

Results
Its space group is R-3m (166).

---

Entry 12:
First-principles (GGA-PBE) data for TcW4 after structural relaxation, as listed in Alexandria via LeMat-Bulk.

abc: 4.631 4.631 4.631
angles: 90.00 90.00 90.00
Element x y z (fractional)
Tc1 0.000 0.000 0.000
W1 0.000 0.000 0.500
W2 0.000 0.500 0.000
W3 0.500 0.000 0.000
W4 0.500 0.500 0.500

Results
The distance to the lowest polymorph of the same formula comes out at 2.1320 eV per atom. Its space group is Pm-3m (221).

---

Entry 13:
First-principles (GGA-PBE) data for Tc2W after structural relaxation, as listed in Alexandria via LeMat-Bulk.

abc: 3.034 3.034 21.136
angles: 90.00 90.00 90.00
Element x y z (fractional)
Tc1 0.000 0.250 0.300
Tc2 0.000 0.250 0.450
Tc3 0.000 0.750 0.550
Tc4 0.000 0.750 0.700
Tc5 0.500 0.250 0.050
Tc6 0.500 0.250 0.200
Tc7 0.500 0.750 0.800
Tc8 0.500 0.750 0.950
W1 0.000 0.250 0.875
W2 0.000 0.750 0.125
W3 0.500 0.250 0.625
W4 0.500 0.750 0.375

Results
The distance to the lowest polymorph of the same formula comes out at 0.3208 eV per atom. Its space group is I4_1/amd (141).

---

Entry 14:
First-principles (GGA-PBE) data for TcW2 after structural relaxation, as listed in Alexandria via LeMat-Bulk.

abc: 2.690 15.156 4.666
angles: 90.00 90.00 90.00
Element x y z (fractional)
Tc1 0.000 0.221 0.250
Tc2 0.000 0.779 0.750
Tc3 0.500 0.279 0.750
Tc4 0.500 0.721 0.250
W1 0.000 0.120 0.750
W2 0.000 0.446 0.750
W3 0.000 0.554 0.250
W4 0.000 0.880 0.250
W5 0.500 0.054 0.250
W6 0.500 0.380 0.250
W7 0.500 0.620 0.750
W8 0.500 0.946 0.750

Results
The distance to the lowest polymorph of the same formula comes out at 0.2698 eV per atom. Its space group is Cmcm (63).

---

Entry 15:
First-principles (GGA-PBE) data for TcW2 after structural relaxation, as listed in Alexandria via LeMat-Bulk.

abc: 3.158 13.343 4.469
angles: 90.00 90.00 90.00
Element x y z (fractional)
Tc1 0.000 0.081 0.250
Tc2 0.000 0.919 0.750
Tc3 0.500 0.419 0.750
Tc4 0.500 0.581 0.250
W1 0.000 0.247 0.750
W2 0.000 0.415 0.250
W3 0.000 0.585 0.750
W4 0.000 0.753 0.250
W5 0.500 0.085 0.750
W6 0.500 0.253 0.250
W7 0.500 0.747 0.750
W8 0.500 0.915 0.250

Results
The distance to the lowest polymorph of the same formula comes out at 0.0000 eV per atom. Its space group is Cmcm (63).

---

Entry 16:
First-principles (GGA-PBE) data for TcW2 after structural relaxation, as listed in Alexandria via LeMat-Bulk.

abc: 6.054 6.054 6.054
angles: 90.00 90.00 90.00
Element x y z (fractional)
Tc1 0.000 0.000 0.000
Tc2 0.000 0.500 0.500
Tc3 0.500 0.000 0.500
Tc4 0.500 0.500 0.000
W1 0.127 0.627 0.873
W2 0.127 0.873 0.373
W3 0.373 0.127 0.873
W4 0.373 0.373 0.373
W5 0.627 0.627 0.627
W6 0.627 0.873 0.127
W7 0.873 0.127 0.627
W8 0.873 0.373 0.127

Results
The distance to the lowest polymorph of the same formula comes out at 1.2364 eV per atom. Its space group is Pa-3 (205).

---

Entry 17:
First-principles (GGA-PBE) data for TcW2 after structural relaxation, as listed in Alexandria via LeMat-Bulk.

abc: 5.189 5.189 5.189
angles: 60.00 60.00 60.00
Element x y z (fractional)
Tc1 0.125 0.125 0.125
Tc2 0.875 0.875 0.875
W1 0.000 0.500 0.500
W2 0.500 0.000 0.500
W3 0.500 0.500 0.000
W4 0.500 0.500 0.500

Results
The distance to the lowest polymorph of the same formula comes out at 0.3968 eV per atom. Its space group is Fd-3m (227).

---

Entry 18:
First-principles (GGA-PBE) data for Tc24W5 after structural relaxation, as listed in Alexandria via LeMat-Bulk.

abc: 8.275 8.275 8.275
angles: 109.47 109.47 109.47
Element x y z (fractional)
Tc1 0.000 0.316 0.602
Tc2 0.000 0.602 0.316
Tc3 0.000 0.626 0.807
Tc4 0.000 0.807 0.626
Tc5 0.181 0.374 0.374
Tc6 0.193 0.193 0.819
Tc7 0.193 0.819 0.193
Tc8 0.285 0.684 0.684
Tc9 0.316 0.000 0.602
Tc10 0.316 0.602 0.000
Tc11 0.374 0.181 0.374
Tc12 0.374 0.374 0.181
Tc13 0.398 0.398 0.715
Tc14 0.398 0.715 0.398
Tc15 0.602 0.000 0.316
Tc16 0.602 0.316 0.000
Tc17 0.626 0.000 0.807
Tc18 0.626 0.807 0.000
Tc19 0.684 0.285 0.684
Tc20 0.684 0.684 0.285
Tc21 0.715 0.398 0.398
Tc22 0.807 0.000 0.626
Tc23 0.807 0.626 0.000
Tc24 0.819 0.193 0.193
W1 0.000 0.000 0.000
W2 0.000 0.000 0.361
W3 0.000 0.361 0.000
W4 0.361 0.000 0.000
W5 0.639 0.639 0.639

Results
Its space group is I-43m (217).

---

Entry 19:
First-principles (GGA-PBE) data for Tc2W after structural relaxation, as listed in Alexandria via LeMat-Bulk.

abc: 2.768 2.768 6.905
angles: 90.00 90.00 120.00
Element x y z (fractional)
Tc1 0.333 0.667 0.156
Tc2 0.667 0.333 0.844
W1 0.000 0.000 0.500

Results
The distance to the lowest polymorph of the same formula comes out at 0.0694 eV per atom. Its space group is P-3m1 (164).

---

Entry 20:
First-principles (GGA-PBE) data for TcW2 after structural relaxation, as listed in Alexandria via LeMat-Bulk.

abc: 5.239 5.239 8.369
angles: 90.00 90.00 120.00
Element x y z (fractional)
Tc1 0.333 0.667 0.047
Tc2 0.333 0.667 0.453
Tc3 0.667 0.333 0.547
Tc4 0.667 0.333 0.953
W1 0.000 0.000 0.000
W2 0.000 0.000 0.500
W3 0.170 0.339 0.750
W4 0.170 0.830 0.750
W5 0.339 0.170 0.250
W6 0.661 0.830 0.750
W7 0.830 0.170 0.250
W8 0.830 0.661 0.250

Results
The distance to the lowest polymorph of the same formula comes out at 0.4408 eV per atom. Its space group is P6_3/mmc (194).

---

Entry 21:
First-principles (GGA-PBE) data for Tc3W after structural relaxation, as listed in Alexandria via LeMat-Bulk.

abc: 4.822 8.974 5.542
angles: 90.00 90.00 90.00
Element x y z (fractional)
Tc1 0.084 0.250 0.123
Tc2 0.239 0.507 0.873
Tc3 0.239 0.993 0.873
Tc4 0.261 0.007 0.373
Tc5 0.261 0.493 0.373
Tc6 0.416 0.750 0.623
Tc7 0.584 0.250 0.377
Tc8 0.739 0.507 0.627
Tc9 0.739 0.993 0.627
Tc10 0.761 0.007 0.127
Tc11 0.761 0.493 0.127
Tc12 0.916 0.750 0.877
W1 0.083 0.250 0.622
W2 0.417 0.750 0.122
W3 0.583 0.250 0.878
W4 0.917 0.750 0.378

Results
Its space group is Pnma (62).

---

Entry 22:
First-principles (GGA-PBE) data for Tc2W after structural relaxation, as listed in Alexandria via LeMat-Bulk.

abc: 2.741 4.170 17.323
angles: 90.00 90.00 90.00
Element x y z (fractional)
Tc1 0.000 0.250 0.035
Tc2 0.000 0.250 0.187
Tc3 0.000 0.750 0.813
Tc4 0.000 0.750 0.965
Tc5 0.500 0.250 0.313
Tc6 0.500 0.250 0.465
Tc7 0.500 0.750 0.535
Tc8 0.500 0.750 0.687
W1 0.000 0.250 0.620
W2 0.000 0.750 0.380
W3 0.500 0.250 0.880
W4 0.500 0.750 0.120

Results
The distance to the lowest polymorph of the same formula comes out at 0.4045 eV per atom. Its space group is Imma (74).

---

Entry 23:
First-principles (GGA-PBE) data for TcW3 after structural relaxation, as listed in Alexandria via LeMat-Bulk.

abc: 2.757 4.454 5.233
angles: 90.00 100.38 90.00
Element x y z (fractional)
Tc1 0.000 0.000 0.000
W1 0.256 0.500 0.750
W2 0.500 0.000 0.500
W3 0.744 0.500 0.250

Results
Its space group is P2/m (10).

---

Entry 24:
First-principles (GGA-PBE) data for Tc2W after structural relaxation, as listed in Alexandria via LeMat-Bulk.

abc: 4.159 4.159 3.108
angles: 90.00 90.00 90.00
Element x y z (fractional)
Tc1 0.000 0.500 0.000
Tc2 0.500 0.000 0.000
W1 0.000 0.000 0.500

Results
The distance to the lowest polymorph of the same formula comes out at 0.8373 eV per atom. Its space group is P4/mmm (123).

---

Entry 25:
First-principles (GGA-PBE) data for Tc3W after structural relaxation, as listed in Alexandria via LeMat-Bulk.

abc: 2.770 3.920 5.547
angles: 90.00 90.00 90.00
Element x y z (fractional)
Tc1 0.000 0.000 0.000
Tc2 0.500 0.500 0.243
Tc3 0.500 0.500 0.757
W1 0.000 0.000 0.500

Results
Its space group is Pmmm (47).

---

| no. | energy (Ry/atom) | energy relative to the elements (eV per atom) |
| --- | --- | --- |
| 1 | -0.8844 | 0.0577 |
| 2 | -0.8161 | 0.1250 |
| 3 | -0.8011 | 0.1132 |
| 4 | -0.8281 | 0.2489 |
| 5 | -0.8169 | 0.1146 |
| 6 | -0.8806 | 0.3248 |
| 7 | -0.8003 | 0.1245 |
| 8 | -0.9006 | 0.0525 |
| 9 | -0.7952 | 0.4096 |
| 10 | -0.8002 | 0.1257 |
| 11 | -0.9006 | 0.0531 |
| 12 | -0.7551 | 2.1624 |
| 13 | -0.7948 | 0.4149 |
| 14 | -0.8654 | 0.3170 |
| 15 | -0.8852 | 0.0472 |
| 16 | -0.7943 | 1.2836 |
| 17 | -0.8560 | 0.4440 |
| 18 | -0.7937 | 0.0134 |
| 19 | -0.8133 | 0.1634 |
| 20 | -0.8528 | 0.4880 |
| 21 | -0.8040 | 0.0734 |
| 22 | -0.7886 | 0.4985 |
| 23 | -0.9004 | 0.0554 |
| 24 | -0.7568 | 0.9314 |
| 25 | -0.8004 | 0.1227 |